i.
Here is crystalline Bi2NF at its relaxed geometry from Alexandria. Energies are from PBE.

Properties
The value obtained for the calculated volume is 17.646 Å³/atom. The calculation puts the density of states at the Fermi level at 2.13 states/eV/f.u.

Unit cell a=4.6388 b=4.6388 c=4.6388 alpha=60.00 beta=60.00 gamma=60.00
With the nearest neighbours (Å) after each atom.
Atoms (fractional coordinates):
Bi 0.7500 0.7500 0.7500  4 N 2.84, 4 F 2.84
Bi 0.2500 0.2500 0.2500  4 F 2.84, 4 N 2.84
F 0.5000 0.5000 0.5000  8 Bi 2.84
N 0.0000 0.0000 0.0000  8 Bi 2.84

ii.
Here is crystalline Bi2NF at its relaxed geometry from Alexandria. Energies are from PBE.

Properties
The value obtained for the calculated volume is 22.899 Å³/atom. The calculation puts the density of states at the Fermi level at 0.06 states/eV/f.u.

Unit cell a=5.2485 b=5.2485 c=7.6158 alpha=69.84 beta=69.84 gamma=90.00
With the nearest neighbours (Å) after each atom.
Atoms (fractional coordinates):
Bi 0.8750 0.8182 0.7500  2 N 2.35
N 0.5000 0.5000 0.0000  4 Bi 2.35
Bi 0.5682 0.1250 0.2500  2 N 2.35
F 0.7500 0.2500 0.5000  4 Bi 2.66
Bi 0.3750 0.4318 0.7500  2 N 2.35
Bi 0.1818 0.6250 0.2500  2 N 2.35
N 0.2500 0.7500 0.5000  4 Bi 2.35
F 0.0000 0.0000 0.0000  4 Bi 2.66

So which one is most stable? That would be ii, about 297 meV/atom below the next structure.